1.
Here is a relaxed Pm2Sm3Y6Ho crystal from Alexandria via LeMat-Bulk. Energies are from PBE.

## Properties
total moment: 0.000 μB per atom
E_form: 0.01 eV/atom
total DFT energy (no corrections): -66.9 eV per cell
calculated volume: 393 Å³/cell

Unit cell a=6.230 b=6.230 c=11.867 alpha=95.00 beta=95.00 gamma=119.97
Element x y z (fractional)
Pm 0.667 0.333 0.000
Pm 0.333 0.667 0.000
Sm 0.833 0.167 0.500
Sm 0.500 0.500 0.500
Sm 0.167 0.833 0.500
Y 0.416 0.083 0.250
Y 0.250 0.250 0.750
Y 0.917 0.584 0.750
Y 0.584 0.917 0.750
Y 0.083 0.416 0.250
Y 0.750 0.750 0.250
Ho 0.000 0.000 0.000

2.
Here is a relaxed Nd2Y4Tm2Th crystal from Alexandria via LeMat-Bulk. Energies are from PBE.

## Properties
total moment: 0.000 μB per atom
E_form: 0.01 eV/atom
total DFT energy (no corrections): -51.7 eV per cell
calculated volume: 293 Å³/cell

Unit cell a=3.615 b=9.526 c=9.606 alpha=115.16 beta=90.00 gamma=100.94
Element x y z (fractional)
Tm 0.335 0.670 0.995
Tm 0.665 0.330 0.005
Y 0.817 0.633 0.669
Y 0.482 0.964 0.673
Y 0.183 0.367 0.331
Y 0.518 0.036 0.327
Nd 0.851 0.702 0.331
Nd 0.149 0.298 0.669
Th 0.000 0.000 0.000

3.
Here is a relaxed Y3Hg crystal from Alexandria via LeMat-Bulk. Energies are from PBE.

## Properties
total moment: 0.000 μB per atom
E_form: -0.24 eV/atom
total DFT energy (no corrections): -20.6 eV per cell
calculated volume: 117 Å³/cell

Unit cell a=3.621 b=3.621 c=8.959 alpha=90.00 beta=90.00 gamma=90.04
Element x y z (fractional)
Y 0.500 0.500 0.780
Y 0.000 0.000 0.500
Y 0.500 0.500 0.220
Hg 0.000 0.000 0.000

4.
Here is a relaxed Si4Ir crystal from Alexandria via LeMat-Bulk. Energies are from PBE.

## Properties
total moment: 0.000 μB per atom
E above lowest polymorph: 10.56 kcal/mol of atoms
E_form (uncorrected): 0.6420 eV/atom
total DFT energy (no corrections): -27.3 eV per cell
calculated volume: 100 Å³/cell

Unit cell a=4.642 b=4.642 c=4.642 alpha=90.00 beta=90.00 gamma=90.00
Element x y z (fractional)
Si 0.000 0.500 0.500
Si 0.000 0.000 0.000
Si 0.500 0.000 0.500
Si 0.500 0.500 0.000
Ir 0.500 0.500 0.500

5.
Here is a relaxed Pm4Nd5Y2 crystal from Alexandria via LeMat-Bulk. Energies are from PBE.

## Properties
total moment: 0.000 μB per atom
E above lowest polymorph: 0.53 kcal/mol of atoms
E_form: 0.13 eV/atom
total DFT energy (no corrections): -54.3 eV per cell
calculated volume: 382 Å³/cell

Unit cell a=3.521 b=8.960 c=12.325 alpha=97.24 beta=98.21 gamma=90.00
Element x y z (fractional)
Nd 0.500 0.000 0.000
Nd 0.140 0.115 0.280
Nd 0.231 0.822 0.462
Nd 0.769 0.178 0.538
Nd 0.860 0.885 0.720
Pm 0.954 0.639 0.908
Pm 0.677 0.471 0.354
Pm 0.046 0.361 0.092
Pm 0.323 0.529 0.646
Y 0.091 0.733 0.182
Y 0.909 0.267 0.818

6.
Here is a relaxed Cs3Tl2Br7 crystal from Alexandria via LeMat-Bulk. Energies are from PBE.

## Properties
total moment: 0.000 μB per atom
E above lowest polymorph: 0.43 kcal/mol of atoms
E_form (uncorrected): -1.1966 eV/atom
total DFT energy (no corrections): -33.4 eV per cell
calculated volume: 500 Å³/cell

Unit cell a=5.747 b=5.985 c=14.839 alpha=101.63 beta=90.00 gamma=90.00
Element x y z (fractional)
Cs 0.500 0.316 0.633
Cs 0.500 0.500 0.000
Cs 0.500 0.684 0.367
Tl 0.000 0.103 0.206
Tl 0.000 0.897 0.794
Br 0.000 0.797 0.593
Br 0.000 0.599 0.198
Br 0.500 0.100 0.200
Br 0.000 0.203 0.407
Br 0.000 0.401 0.802
Br 0.500 0.900 0.800
Br 0.000 0.000 0.000